# 1
Density functional theory data (PBE) for an optimized crystal structure of LaZnSi2Tc.

Calculated values
total DFT energy (no corrections)	-28.92	eV/f.u.
energy relative to the elements, uncorrected	-0.30	eV/atom
ρ	5.77	Mg/m³

Cell: 4.625 4.625 4.819 Å, 90.00 90.00 90.00°
Sites, in units of the cell vectors:
La: 0.000 0.000 0.000
Zn: 0.500 0.500 0.000
Si: 0.000 0.500 0.500
Si: 0.500 0.000 0.500
Tc: 0.500 0.500 0.500



# 2
Density functional theory data (PBE) for an optimized crystal structure of SrCd4Pt2.

Calculated values
total DFT energy (no corrections)	-20.69	eV/f.u.
calculated formation energy	-315	kJ/mol of formula units
ρ	9.70	Mg/m³

Cell: 8.354 8.354 4.547 Å, 90.00 90.00 90.00°
Sites, in units of the cell vectors:
Sr: 0.000 0.000 0.000
Sr: 0.500 0.500 0.500
Cd: 0.091 0.341 0.500
Cd: 0.159 0.591 0.000
Cd: 0.341 0.091 0.500
Cd: 0.409 0.841 0.000
Cd: 0.591 0.159 0.000
Cd: 0.659 0.909 0.500
Cd: 0.841 0.409 0.000
Cd: 0.909 0.659 0.500
Pt: 0.222 0.778 0.500
Pt: 0.278 0.278 0.000
Pt: 0.722 0.722 0.000
Pt: 0.778 0.222 0.500



# 3
Density functional theory data (PBE) for an optimized crystal structure of CaAgH3.

Calculated values
total DFT energy (no corrections)	-13.75	eV/f.u.
ρ	3.50	Mg/m³

Cell: 4.152 4.152 4.152 Å, 90.00 90.00 90.00°
Sites, in units of the cell vectors:
Ca: 0.000 0.000 0.000
Ag: 0.500 0.500 0.500
H: 0.000 0.000 0.500
H: 0.000 0.500 0.000
H: 0.500 0.000 0.000



# 4
Density functional theory data (PBE) for an optimized crystal structure of RbMgTl11.

Calculated values
total DFT energy (no corrections)	-28.78	eV/f.u.
calculated formation energy	-19	kJ/mol of formula units
ρ	9.42	Mg/m³

Cell: 8.635 8.635 8.608 Å, 97.15 97.15 136.57°
Sites, in units of the cell vectors:
Rb: 0.000 0.000 0.000
Mg: 0.500 0.500 0.500
Tl: 0.000 0.000 0.500
Tl: 0.000 0.500 0.000
Tl: 0.004 0.359 0.361
Tl: 0.295 0.506 0.780
Tl: 0.359 0.004 0.361
Tl: 0.494 0.705 0.220
Tl: 0.500 0.000 0.000
Tl: 0.506 0.295 0.780
Tl: 0.641 0.996 0.639
Tl: 0.705 0.494 0.220
Tl: 0.996 0.641 0.639



# 5
Density functional theory data (PBE) for an optimized crystal structure of RbUSO2.

Calculated values
total DFT energy (no corrections)	-37.96	eV/f.u.
energy relative to the elements, uncorrected	-2.33	eV/atom
ρ	6.33	Mg/m³

Cell: 4.341 4.341 5.397 Å, 90.00 90.00 90.00°
Sites, in units of the cell vectors:
Rb: 0.000 0.000 0.000
U: 0.500 0.500 0.510
S: 0.500 0.500 0.011
O: 0.000 0.500 0.512
O: 0.500 0.000 0.512



# 6
Density functional theory data (PBE) for an optimized crystal structure of K2Bi2I.

Calculated values
total DFT energy (no corrections)	-12.98	eV/f.u.
energy relative to the elements, uncorrected	-0.29	eV/atom
ρ	4.12	Mg/m³

Cell: 7.172 7.172 7.172 Å, 122.37 122.37 85.94°
Sites, in units of the cell vectors:
K: 0.250 0.750 0.500
K: 0.750 0.250 0.500
Bi: 0.131 0.131 0.000
Bi: 0.869 0.869 0.000
I: 0.500 0.500 0.000



# 7
Density functional theory data (PBE) for an optimized crystal structure of NbSb2TeOs.

Calculated values
total DFT energy (no corrections)	-25.48	eV/f.u.
energy relative to the elements, uncorrected	1.44	eV/atom
ρ	7.30	Mg/m³

Cell: 5.330 5.330 5.242 Å, 90.00 90.00 90.00°
Sites, in units of the cell vectors:
Nb: 0.000 0.000 0.000
Sb: 0.000 0.500 0.000
Sb: 0.500 0.000 0.000
Te: 0.000 0.000 0.500
Os: 0.500 0.500 0.500



# 8
Density functional theory data (PBE) for an optimized crystal structure of ZrVCl6.

Calculated values
total DFT energy (no corrections)	-40.85	eV/f.u.
energy relative to the elements, uncorrected	-1.51	eV/atom
ρ	2.64	Mg/m³

Cell: 7.053 7.053 6.087 Å, 97.89 97.89 128.88°
Sites, in units of the cell vectors:
Zr: 0.000 0.000 0.000
V: 0.500 0.500 0.500
Cl: 0.118 0.392 0.255
Cl: 0.250 0.250 0.749
Cl: 0.392 0.118 0.255
Cl: 0.608 0.882 0.745
Cl: 0.750 0.750 0.251
Cl: 0.882 0.608 0.745



# 9
Density functional theory data (PBE) for an optimized crystal structure of LaTbMg2Cd4.

Calculated values
total DFT energy (no corrections)	-19.02	eV/f.u.
calculated formation energy	-252	kJ/mol of formula units
ρ	6.70	Mg/m³

Cell: 9.010 9.010 9.010 Å, 33.39 33.39 33.39°
Sites, in units of the cell vectors:
La: 0.000 0.000 0.000
Tb: 0.500 0.500 0.500
Mg: 0.249 0.249 0.249
Mg: 0.751 0.751 0.751
Cd: 0.128 0.128 0.128
Cd: 0.379 0.379 0.379
Cd: 0.621 0.621 0.621
Cd: 0.872 0.872 0.872



> Look up the ρ of the fifth one.

6.33 Mg/m³



> total DFT energy (no corrections) of number 1 (LaZnSi2Tc)?

-28.92 eV/f.u.



> What is the formula in the fifth record?

RbUSO2



> Among the records above, which one has the lowest ρ?

ZrVCl6